PaTeS3: optimized geometry, PBE.

The density of states at the Fermi level comes out at 0.5276 states/eV per atom. As for the crystal system: monoclinic. The calculation puts the formation energy (no corrections) at -846 meV/atom. The calculation puts the total energy at -5.850 eV/atom.

a = 16.0455 Å, b = 4.3936 Å, c = 7.1221 Å
α = 90.00°, β = 106.13°, γ = 90.00°
Closest atoms and distances in Å follow each position.
Space group C2/m (No. 12)
One atom of each set of equivalent atoms:
Pa: 0.2088 0.0000 0.2323  7 S 2.69-2.82
Te: 0.0529 0.5000 0.8390  2 S 2.59
S: 0.0346 0.0000 0.2459  2 Te 2.59, 1 Pa 2.82
S: 0.1693 0.5000 0.4204  3 Pa 2.69-2.74
S: 0.1964 0.0000 0.8423  3 Pa 2.73-2.81